# 1
The following is a PBEsol calculation of a geometry-optimized Hg2Se structure, from Alexandria via LeMat-Bulk.

abc: 5.7862 5.7862 5.7862
angles: 60.00 60.00 60.00
Element x y z (fractional)
Hg: 0.0000 0.0000 0.0000
Hg: 0.0000 0.0000 0.5000
Hg: 0.0000 0.5000 0.0000
Hg: 0.5000 0.0000 0.0000
Se: 0.3750 0.3750 0.3750
Se: 0.6250 0.6250 0.6250

**VASP energy**: -1.272 eV/atom
**Crystal system**: cubic
**ΔE to the lowest computed polymorph**: 1.35 eV/f.u.
**Symmetry**: No. 227

***

# 2
The following is a PBEsol calculation of a geometry-optimized CrPtSe2 structure, from Alexandria via LeMat-Bulk.

abc: 7.9557 7.9557 7.9557
angles: 21.95 21.95 21.95
Element x y z (fractional)
Cr: 0.0000 0.0000 0.0000
Pt: 0.5000 0.5000 0.5000
Se: 0.2621 0.2621 0.2621
Se: 0.7379 0.7379 0.7379

**VASP energy**: -6.202 eV/atom
**Crystal system**: trigonal
**ΔE to the lowest computed polymorph**: 0.68 eV/f.u.
**Symmetry**: No. 166

***

# 3
The following is a PBEsol calculation of a geometry-optimized Be2IrRh structure, from Alexandria via LeMat-Bulk.

abc: 3.6747 4.3855 4.3855
angles: 36.91 90.00 90.00
Element x y z (fractional)
Be: 0.0000 0.0000 0.0000
Be: 0.5000 0.1629 0.1629
Ir: 0.5000 0.4404 0.4404
Rh: 0.0000 0.7235 0.7235

**VASP energy**: -7.007 eV/atom
**Crystal system**: orthorhombic
**Symmetry**: No. 38

***

# 4
The following is a PBEsol calculation of a geometry-optimized TlIn3Ir structure, from Alexandria via LeMat-Bulk.

abc: 5.1224 5.1224 5.1224
angles: 90.00 90.00 90.00
Element x y z (fractional)
Tl: 0.0000 0.0000 0.0000
In: 0.0000 0.5000 0.5000
In: 0.5000 0.0000 0.5000
In: 0.5000 0.5000 0.0000
Ir: 0.5000 0.5000 0.5000

**VASP energy**: -4.309 eV/atom
**Crystal system**: cubic
**Symmetry**: No. 221

***

# 5
The following is a PBEsol calculation of a geometry-optimized Co4Ir5 structure, from Alexandria via LeMat-Bulk.

abc: 5.7985 5.7985 5.7985
angles: 95.87 95.87 142.69
Element x y z (fractional)
Co: 0.0000 0.3330 0.3330
Co: 0.0000 0.6670 0.6670
Co: 0.3330 0.0000 0.3330
Co: 0.6670 0.0000 0.6670
Ir: 0.0000 0.0000 0.0000
Ir: 0.3306 0.3306 0.6612
Ir: 0.3306 0.6694 0.0000
Ir: 0.6694 0.3306 0.0000
Ir: 0.6694 0.6694 0.3388

**VASP energy**: -8.814 eV/atom
**Crystal system**: tetragonal
**Symmetry**: No. 139

***

# 6
The following is a PBEsol calculation of a geometry-optimized TiHAu2 structure, from Alexandria via LeMat-Bulk.

abc: 5.3169 5.3169 5.3169
angles: 102.31 102.31 125.01
Element x y z (fractional)
Ti: 0.0000 0.0000 0.0000
Ti: 0.7500 0.2500 0.5000
H: 0.2500 0.7500 0.5000
H: 0.5000 0.5000 0.0000
Au: 0.2164 0.6250 0.0914
Au: 0.3750 0.4664 0.5914
Au: 0.5336 0.1250 0.9086
Au: 0.8750 0.7836 0.4086

**VASP energy**: -4.817 eV/atom
**Crystal system**: tetragonal
**ΔE to the lowest computed polymorph**: 0.00 eV/f.u.
**Symmetry**: No. 122

***

Please write out number 5 again, unchanged.
The following is a PBEsol calculation of a geometry-optimized Co4Ir5 structure, from Alexandria via LeMat-Bulk.

abc: 5.7985 5.7985 5.7985
angles: 95.87 95.87 142.69
Element x y z (fractional)
Co: 0.0000 0.3330 0.3330
Co: 0.0000 0.6670 0.6670
Co: 0.3330 0.0000 0.3330
Co: 0.6670 0.0000 0.6670
Ir: 0.0000 0.0000 0.0000
Ir: 0.3306 0.3306 0.6612
Ir: 0.3306 0.6694 0.0000
Ir: 0.6694 0.3306 0.0000
Ir: 0.6694 0.6694 0.3388

**VASP energy**: -8.814 eV/atom
**Crystal system**: tetragonal
**Symmetry**: No. 139